Nd12Er5Tl2 | PBE | relaxed

Summary:
energy relative to the elements: 0.015 eV/atom

Unit cell a=9.0750 b=9.0750 c=8.6424 alpha=92.67 beta=92.67 gamma=62.54
Closest atoms and distances in Å follow each position.
Positions (direct):
Nd 0.0569 0.0569 0.3194  2 Tl 3.33, 2 Er 3.33-3.45, 7 Nd 3.37-3.67
Nd 0.0715 0.6814 0.3450  5 Nd 3.37-3.68, 4 Er 3.40-3.67, 1 Tl 3.63
Nd 0.1638 0.5339 0.7662  1 Tl 3.26, 4 Nd 3.41-3.59, 1 Er 3.62
Nd 0.3186 0.9285 0.6550  5 Nd 3.37-3.68, 4 Er 3.40-3.67, 1 Tl 3.63
Nd 0.4158 0.4158 0.1151  5 Nd 3.37-3.59, 2 Tl 3.44, 3 Er 3.51-3.66
Nd 0.4661 0.8362 0.2338  1 Tl 3.26, 4 Nd 3.41-3.59, 1 Er 3.62
Nd 0.5339 0.1638 0.7662  1 Tl 3.26, 4 Nd 3.41-3.59, 1 Er 3.62
Nd 0.5842 0.5842 0.8849  5 Nd 3.37-3.59, 2 Tl 3.44, 3 Er 3.51-3.66
Nd 0.6814 0.0715 0.3450  5 Nd 3.37-3.68, 4 Er 3.40-3.67, 1 Tl 3.63
Nd 0.8362 0.4661 0.2338  1 Tl 3.26, 4 Nd 3.41-3.59, 1 Er 3.62
Nd 0.9285 0.3186 0.6550  5 Nd 3.37-3.68, 4 Er 3.40-3.67, 1 Tl 3.63
Nd 0.9431 0.9431 0.6806  2 Tl 3.33, 2 Er 3.33-3.45, 7 Nd 3.37-3.67
Er 0.1849 0.1849 0.0048  2 Tl 3.34, 6 Nd 3.45-3.66, 1 Er 3.70
Er 0.2679 0.2679 0.4141  8 Nd 3.33-3.67, 2 Er 3.64-3.70
Er 0.5000 0.5000 0.5000  10 Nd 3.51-3.80, 2 Er 3.64
Er 0.7321 0.7321 0.5859  8 Nd 3.33-3.67, 2 Er 3.64-3.70
Er 0.8151 0.8151 0.9952  2 Tl 3.34, 6 Nd 3.45-3.66, 1 Er 3.70
Tl 0.1815 0.8185 0.0000  8 Nd 3.26-3.63, 2 Er 3.34, 1 Tl 3.42
Tl 0.8185 0.1815 0.0000  8 Nd 3.26-3.63, 2 Er 3.34, 1 Tl 3.42


Rb2ZrBMo | PBE | relaxed

Summary:
energy relative to the elements: 1.768 eV/atom

Unit cell a=6.4802 b=6.4802 c=4.4443 alpha=90.00 beta=90.00 gamma=90.00
Closest atoms and distances in Å follow each position.
Positions (direct):
Rb 0.0000 0.5000 0.0000  2 B 3.24
Rb 0.5000 0.0000 0.0000  2 B 3.24
Zr 0.0000 0.0000 0.5000  2 B 2.22
B 0.0000 0.0000 0.0000  2 Zr 2.22
Mo 0.5000 0.5000 0.5000  8 Rb 3.93


Ag2HgBi | PBE | relaxed

Summary:
energy relative to the elements: 0.194 eV/atom
ΔE to the lowest computed polymorph: 97.2 meV/atom

Unit cell a=10.3564 b=10.3564 c=10.3564 alpha=155.11 beta=155.11 gamma=35.48
Closest atoms and distances in Å follow each position.
Positions (direct):
Ag 0.1104 0.6250 0.9854  2 Hg 2.90, 2 Bi 2.95, 4 Ag 3.07-3.25
Ag 0.3750 0.3604 0.4854  2 Hg 2.90, 2 Bi 2.95, 4 Ag 3.07-3.25
Ag 0.6396 0.1250 0.0146  2 Hg 2.90, 2 Bi 2.95, 4 Ag 3.07-3.25
Ag 0.8750 0.8896 0.5146  2 Hg 2.90, 2 Bi 2.95, 4 Ag 3.07-3.25
Hg 0.0000 0.0000 0.0000  4 Ag 2.90, 4 Bi 3.16
Hg 0.7500 0.2500 0.5000  4 Ag 2.90, 4 Bi 3.16
Bi 0.2500 0.7500 0.5000  4 Ag 2.95, 4 Hg 3.16
Bi 0.5000 0.5000 0.0000  4 Ag 2.95, 4 Hg 3.16


NdTmCd5 | PBE | relaxed

Summary:
energy relative to the elements: -0.096 eV/atom

Unit cell a=4.6320 b=4.6320 c=8.7642 alpha=90.00 beta=90.00 gamma=90.00
Closest atoms and distances in Å follow each position.
Positions (direct):
Nd 0.0000 0.0000 0.0000  8 Cd 3.22
Tm 0.5000 0.5000 0.5000  12 Cd 3.15-3.28
Cd 0.0000 0.0000 0.5000  8 Cd 3.15, 4 Tm 3.28
Cd 0.0000 0.5000 0.2559  6 Cd 3.15-3.28, 2 Tm 3.15, 2 Nd 3.22
Cd 0.0000 0.5000 0.7441  6 Cd 3.15-3.28, 2 Tm 3.15, 2 Nd 3.22
Cd 0.5000 0.0000 0.2559  6 Cd 3.15-3.28, 2 Tm 3.15, 2 Nd 3.22
Cd 0.5000 0.0000 0.7441  6 Cd 3.15-3.28, 2 Tm 3.15, 2 Nd 3.22


Ba2TbU3O12 | PBE | relaxed

Summary:
energy relative to the elements, uncorrected: -3.153 eV per atom

Unit cell a=7.9251 b=7.9251 c=7.9251 alpha=61.93 beta=61.93 gamma=61.93
Closest atoms and distances in Å follow each position.
Positions (direct):
Ba 0.1893 0.1893 0.1893  6 O 2.78-2.86
Ba 0.8107 0.8107 0.8107  6 O 2.78-2.86
Tb 0.5000 0.5000 0.5000  6 O 2.30
U 0.0000 0.5000 0.5000  6 O 2.02-2.16
U 0.5000 0.0000 0.5000  6 O 2.02-2.16
U 0.5000 0.5000 0.0000  6 O 2.02-2.16
O 0.1602 0.5753 0.5753  1 U 2.02
O 0.1883 0.1883 0.5410  2 U 2.16
O 0.1883 0.5410 0.1883  2 U 2.16
O 0.4247 0.4247 0.8398  1 U 2.02
O 0.4247 0.8398 0.4247  1 U 2.02
O 0.4590 0.8117 0.8117  2 U 2.16
O 0.5410 0.1883 0.1883  2 U 2.16
O 0.5753 0.1602 0.5753  1 U 2.02
O 0.5753 0.5753 0.1602  1 U 2.02
O 0.8117 0.4590 0.8117  2 U 2.16
O 0.8117 0.8117 0.4590  2 U 2.16
O 0.8398 0.4247 0.4247  1 U 2.02


BaSr2Nd | PBE | relaxed

Summary:
energy relative to the elements: 0.167 eV/atom
ΔE to the lowest computed polymorph: 45.0 meV/atom

Unit cell a=6.5715 b=6.5715 c=4.5404 alpha=90.00 beta=90.00 gamma=90.00
Closest atoms and distances in Å follow each position.
Positions (direct):
Ba 0.0000 0.0000 0.0000  8 Sr 3.99
Sr 0.0000 0.5000 0.5000  4 Ba 3.99, 4 Nd 3.99
Sr 0.5000 0.0000 0.5000  4 Ba 3.99, 4 Nd 3.99
Nd 0.5000 0.5000 0.0000  8 Sr 3.99


| no. | Fermi-level density of states (states/eV/atom) |
| --- | --- |
| 1 | 1.433 |
| 2 | 0.634 |
| 3 | 0.444 |
| 4 | 0.419 |
| 5 | 0.485 |
| 6 | 1.416 |